[1]
Material: Th8NiC3Se4
Method: DFT, PBE
State: relaxed

Structure (extended XYZ):
```
16
Lattice="7.888 0.000 0.000 0.000 8.320 0.301 -3.944 -3.941 5.579" Properties=species:S:1:pos:R:3 pbc="T T T"
Th -1.889 2.080 5.592
Th 0.000 3.968 2.920
Th 0.000 0.386 3.061
Th 1.889 2.080 5.592
Th 2.055 2.298 0.288
Th 3.944 3.992 2.820
Th 3.944 0.411 2.960
Th 5.832 2.298 0.288
Ni 0.000 4.160 0.150
C 3.944 4.160 0.150
C 1.972 2.189 2.940
C -1.972 2.189 2.940
Se 3.944 0.000 0.000
Se 1.972 -1.971 2.790
Se 0.000 0.000 0.000
Se -1.972 -1.971 2.790
```

**Calculated volume**: 376 Å³ per cell
**Fermi-level density of states**: 9.9 states/eV/f.u.
**Uncorrected formation energy**: -1.010 eV/atom
**E_tot**: -7.682 eV per atom

=====

[2]
Material: K2TeBr2
Method: DFT, PBE
State: relaxed

Structure (extended XYZ):
```
10
Lattice="-7.974 0.149 4.594 -3.108 -6.953 -5.169 1.477 -2.631 2.650" Properties=species:S:1:pos:R:3 pbc="T T T"
K -2.504 -5.828 -1.347
K -7.098 -7.111 -0.060
K -7.101 -3.606 3.422
K -2.507 -2.323 2.134
Te 0.000 0.000 0.000
Te -5.541 -3.402 -0.287
Br -5.407 -5.841 -2.785
Br -8.787 -4.409 0.522
Br -5.676 -0.962 2.210
Br -2.296 -2.394 -1.097
```

**Calculated volume**: 340 Å³ per cell
**Fermi-level density of states**: 2.9 states/eV/f.u.
**Uncorrected formation energy**: -0.998 eV/atom
**Relative energy among the computed polymorphs**: 0.134 eV per atom
**E_tot**: -2.735 eV per atom

=====

[3]
Material: Ti2MoH6
Method: DFT, PBE
State: relaxed

Structure (extended XYZ):
```
9
Lattice="2.968 0.002 -0.956 -0.645 3.829 -1.997 0.108 0.336 5.383" Properties=species:S:1:pos:R:3 pbc="T T T"
Ti 0.850 1.507 2.616
Ti 1.581 2.659 -0.186
Mo 0.000 0.000 0.000
H 2.493 0.540 2.631
H 0.262 1.701 0.803
H -0.062 3.626 -0.201
H 1.325 0.944 -0.970
H 2.168 2.465 1.627
H 0.998 2.886 -1.983
```

**Calculated volume**: 64 Å³ per cell
**Fermi-level density of states**: 2.8 states/eV/f.u.
**Relative energy among the computed polymorphs**: 0.000 eV per atom
**E_tot**: -5.537 eV per atom